VASP calculation (PBE) on a relaxed VS2Br crystal.

Unit cell a=10.220 b=10.220 c=10.220 alpha=17.79 beta=17.79 gamma=17.79
Positions (direct):
V1 0.000 0.000 0.000
S1 0.284 0.284 0.284
S2 0.716 0.716 0.716
Br1 0.500 0.500 0.500

The value obtained for the total moment is 0.54 μB per formula unit. The value obtained for the relative energy among the computed polymorphs is 0.030 eV/atom. Its space group is No. 166. As for the density: 3.72 Mg/m³. The formation energy from raw total energies is -12.34 kcal/mol of atoms.

VASP calculation (PBE) on a relaxed Tm5Ga2Sb crystal.

Unit cell a=8.472 b=8.472 c=8.472 alpha=123.57 beta=123.57 gamma=83.93
Positions (direct):
Tm1 0.000 0.000 0.000
Tm2 0.010 0.510 0.807
Tm3 0.203 0.010 0.500
Tm4 0.297 0.797 0.807
Tm5 0.490 0.297 0.500
Tm6 0.500 0.500 0.000
Tm7 0.510 0.703 0.500
Tm8 0.703 0.203 0.193
Tm9 0.797 0.990 0.500
Tm10 0.990 0.490 0.193
Ga1 0.148 0.352 0.500
Ga2 0.352 0.852 0.205
Ga3 0.648 0.148 0.795
Ga4 0.852 0.648 0.500
Sb1 0.250 0.250 0.000
Sb2 0.750 0.750 0.000

The value obtained for the total moment is 0.00 μB per formula unit. Its space group is No. 140. As for the density: 9.08 Mg/m³. The formation energy from raw total energies is -14.61 kcal/mol of atoms.

VASP calculation (PBE) on a relaxed AgO2F2 crystal.

Unit cell a=3.532 b=3.532 c=5.080 alpha=90.00 beta=90.00 gamma=90.00
Positions (direct):
Ag1 0.000 0.000 0.000
O1 0.000 0.500 0.500
O2 0.500 0.000 0.500
F1 0.500 0.500 0.000
F2 0.500 0.500 0.500

The value obtained for the total moment is 1.62 μB per formula unit. The value obtained for the relative energy among the computed polymorphs is 1.365 eV/atom. Its space group is No. 123. As for the density: 4.66 Mg/m³. The formation energy from raw total energies is 16.86 kcal/mol of atoms.

VASP calculation (PBE) on a relaxed NaLi2PtC crystal.

Unit cell a=4.375 b=4.375 c=3.917 alpha=90.00 beta=90.00 gamma=90.00
Positions (direct):
Na1 0.000 0.000 0.000
Li1 0.000 0.500 0.500
Li2 0.500 0.000 0.500
Pt1 0.500 0.500 0.000
C1 0.500 0.500 0.500

The value obtained for the total moment is 0.00 μB per formula unit. Its space group is No. 123. As for the density: 5.40 Mg/m³. The calculation puts the formation energy from the elements at -0.57 eV/f.u.

VASP calculation (PBE) on a relaxed Pr3Zn2 crystal.

Unit cell a=10.252 b=10.252 c=10.252 alpha=158.93 beta=158.93 gamma=29.97
Positions (direct):
Pr1 0.000 0.000 0.000
Pr2 0.182 0.182 0.000
Pr3 0.818 0.818 0.000
Zn1 0.408 0.408 0.000
Zn2 0.592 0.592 0.000

The value obtained for the total moment is 0.00 μB per formula unit. Its space group is No. 139. As for the density: 6.60 Mg/m³. The calculation puts the formation energy from the elements at -1.20 eV/f.u.

VASP calculation (PBE) on a relaxed HfCd2In crystal.

Unit cell a=4.355 b=4.355 c=4.506 alpha=90.00 beta=90.00 gamma=90.00
Positions (direct):
Hf1 0.000 0.000 0.000
Cd1 0.000 0.500 0.500
Cd2 0.500 0.000 0.500
In1 0.500 0.500 0.000

The value obtained for the total moment is 0.00 μB per formula unit. Its space group is No. 123. As for the density: 10.07 Mg/m³. The calculation puts the formation energy from the elements at -0.30 eV/f.u.